1.
! Ac6Nd8Y (PBE, optimized geometry); values from VASP
&SYSTEM
  ibrav = 0, nat = 15, ntyp = 3
/
ATOMIC_SPECIES
Ac 227.00 Ac.upf
Nd 144.24 Nd.upf
Y 88.91 Y.upf
CELL_PARAMETERS angstrom
1.031 -5.844 7.053
-5.603 -7.314 0.276
3.712 -8.233 -1.848
ATOMIC_POSITIONS crystal
Ac 0.910 0.458 0.760
Ac 0.240 0.090 0.542
Ac 0.542 0.240 0.090
Ac 0.458 0.760 0.910
Ac 0.760 0.910 0.458
Ac 0.090 0.542 0.240
Nd 0.112 0.707 0.762
Nd 0.238 0.888 0.293
Nd 0.293 0.238 0.888
Nd 0.575 0.575 0.575
Nd 0.425 0.425 0.425
Nd 0.707 0.762 0.112
Nd 0.762 0.112 0.707
Nd 0.888 0.293 0.238
Y 0.000 0.000 0.000
! N(E_F), states/eV/f.u.: 23.609
! ΔH_f (0 K), kcal/mol of atoms: 2.57
! Calculated total energy, eV/atom: -4.5056


2.
! Mg2NiMo (PBE, optimized geometry); values from VASP
&SYSTEM
  ibrav = 0, nat = 4, ntyp = 3
/
ATOMIC_SPECIES
Mg 24.30 Mg.upf
Mo 95.94 Mo.upf
Ni 58.69 Ni.upf
CELL_PARAMETERS angstrom
-1.904 -0.081 -3.642
3.436 -0.662 -1.781
-0.551 -3.870 0.374
ATOMIC_POSITIONS crystal
Mg 0.000 0.000 0.000
Mg 0.000 0.500 0.500
Mo 0.500 0.500 0.000
Ni 0.500 0.000 0.500
! N(E_F), states/eV/f.u.: 3.747
! ΔH_f (0 K), kcal/mol of atoms: 7.19
! Calculated total energy, eV/atom: -4.6388
! ΔE to the lowest computed polymorph, meV per atom: 249